{"formula": "Ba3Eu3Fe6O16", "functional": "PBE with a Hubbard U", "state": "relaxed", "lattice_angstrom": [[8.716, -0.009, 0.012], [6.913, 5.309, 0.012], [5.145, 1.745, 7.936]], "species": ["Fe", "Fe", "Fe", "Fe", "Fe", "Fe", "O", "O", "O", "O", "O", "O", "O", "O", "O", "O", "O", "O", "O", "O", "O", "O", "Eu", "Eu", "Eu", "Ba", "Ba", "Ba"], "frac_coords": [[0.415, 0.415, 0.420], [0.922, 0.922, 0.920], [0.585, 0.585, 0.580], [0.078, 0.078, 0.080], [0.755, 0.755, 0.751], [0.245, 0.245, 0.249], [0.271, 0.758, 0.758], [0.414, 0.902, 0.903], [0.000, 0.000, 0.000], [0.566, 0.063, 0.566], [0.586, 0.098, 0.097], [0.242, 0.729, 0.242], [0.840, 0.840, 0.828], [0.434, 0.937, 0.434], [0.098, 0.586, 0.097], [0.902, 0.414, 0.903], [0.063, 0.566, 0.566], [0.937, 0.434, 0.434], [0.160, 0.160, 0.172], [0.729, 0.242, 0.242], [0.500, 0.500, 0.500], [0.758, 0.271, 0.758], [0.841, 0.841, 0.315], [0.159, 0.159, 0.685], [0.500, 0.500, 0.000], [0.666, 0.666, 0.159], [0.334, 0.334, 0.841], [0.000, 0.000, 0.500]], "magnetic_moment_mub_per_atom": 0.866, "total_energy_ev_per_atom": -7.32, "density_g_cm3": 6.595}